Density functional theory data (SCAN) for Tl2InPb at its PBEsol-relaxed geometry.

```
Tl2InPb
1.0
0.000 3.828 3.828
3.828 0.000 3.828
3.828 3.828 0.000
Tl In Pb
2 1 1
Direct
0.250 0.250 0.250
0.750 0.750 0.750
0.000 0.000 0.000
0.500 0.500 0.500
```

## Properties
calculated volume = 28.04 Å³/atom
formation enthalpy at 0 K = 0.0459 eV/atom
density of states at the Fermi level = 0.575 states/eV/atom

=====

Density functional theory data (SCAN) for TlInPb2 at its PBEsol-relaxed geometry.

```
TlInPb2
1.0
0.000 3.835 3.835
3.835 0.000 3.835
3.835 3.835 0.000
Tl In Pb
1 1 2
Direct
0.000 0.000 0.000
0.750 0.750 0.750
0.250 0.250 0.250
0.500 0.500 0.500
```

## Properties
calculated volume = 28.21 Å³/atom
formation enthalpy at 0 K = 0.0351 eV/atom
density of states at the Fermi level = 0.390 states/eV/atom

=====

Density functional theory data (SCAN) for Tl2InPb at its PBEsol-relaxed geometry.

```
Tl2InPb
1.0
5.666 -1.722 0.000
5.666 1.722 0.000
-1.208 0.000 5.703
Tl In Pb
2 1 1
Direct
0.000 0.000 0.000
0.247 0.247 0.757
0.747 0.747 0.253
0.494 0.494 0.492
```

## Properties
calculated volume = 27.83 Å³/atom
formation enthalpy at 0 K = 0.0290 eV/atom
density of states at the Fermi level = 0.433 states/eV/atom

=====

Density functional theory data (SCAN) for Tl2InPb at its PBEsol-relaxed geometry.

```
Tl2InPb
1.0
1.721 0.994 10.863
-1.721 0.994 10.863
0.000 -1.987 10.863
Tl In Pb
2 1 1
Direct
0.248 0.248 0.248
0.752 0.752 0.752
0.500 0.500 0.500
0.000 0.000 0.000
```

## Properties
calculated volume = 27.86 Å³/atom
formation enthalpy at 0 K = 0.0314 eV/atom
density of states at the Fermi level = 0.443 states/eV/atom

=====

Density functional theory data (SCAN) for TlIn2Pb at its PBEsol-relaxed geometry.

```
TlIn2Pb
1.0
-1.805 2.781 5.422
1.805 -2.781 5.422
1.805 2.781 -5.422
Tl In Pb
1 2 1
Direct
0.000 0.000 0.000
0.249 0.749 0.500
0.486 0.486 0.000
0.736 0.236 0.500
```

## Properties
calculated volume = 27.22 Å³/atom
formation enthalpy at 0 K = 0.0620 eV/atom
density of states at the Fermi level = 0.464 states/eV/atom

=====

Density functional theory data (SCAN) for Tl2InPb at its PBEsol-relaxed geometry.

```
Tl2InPb
1.0
-1.834 2.791 5.435
1.834 -2.791 5.435
1.834 2.791 -5.435
Tl In Pb
2 1 1
Direct
0.243 0.243 0.000
0.757 0.757 0.000
0.000 0.500 0.500
0.500 0.000 0.500
```

## Properties
calculated volume = 27.82 Å³/atom
formation enthalpy at 0 K = 0.0425 eV/atom
density of states at the Fermi level = 0.501 states/eV/atom

=====

| no. | E_tot (eV per atom) |
| --- | --- |
| 1 | -63.425 |
| 2 | -64.292 |
| 3 | -63.442 |
| 4 | -63.440 |
| 5 | -53.666 |
| 6 | -63.429 |